# PBE Pm5TlIr, relaxed
data_Pm5TlIr
_chemical_formula_sum 'Pm20 Tl4 Ir4'
_cell_length_a 9.6219
_cell_length_b 7.7559
_cell_length_c 11.9032
_cell_angle_alpha 90.00
_cell_angle_beta 105.89
_cell_angle_gamma 90.00
_space_group_name_H-M_alt 'C 1 2/c 1'
_space_group_IT_number 15
_space_group_name_Hall '-C 2yc'
loop_
_atom_site_label
_atom_site_type_symbol
_atom_site_fract_x
_atom_site_fract_y
_atom_site_fract_z
Pm1 Pm 0.0000 0.0090 0.2500
Pm2 Pm 0.1177 0.3320 0.5549
Pm3 Pm 0.2492 0.1752 0.1272
Tl1 Tl 0.0000 0.4152 0.2500
Ir1 Ir 0.0000 0.0000 0.0000
# - calculated total energy (eV/atom) = -5.243